Computed, not measured: a relaxed MgMn4O5 crystal at the PBE with a Hubbard U level of DFT.

Unit cell a=3.1601 b=3.1601 c=11.4160 alpha=97.96 beta=97.96 gamma=90.00
Last column: nearest neighbours and their distance in Å.
Fractional positions:
Mg (0.0000, 0.0000, 0.0000)  6 O 2.15-2.23
Mn (0.4023, 0.4023, 0.8046)  6 O 2.19-2.27
Mn (0.8012, 0.8012, 0.6024)  6 O 2.23-2.30
Mn (0.1988, 0.1988, 0.3976)  6 O 2.23-2.30
Mn (0.5977, 0.5977, 0.1954)  6 O 2.19-2.27
O (0.0960, 0.0960, 0.1919)  1 Mg 2.15, 5 Mn 2.23-2.30
O (0.5000, 0.5000, 0.0000)  2 Mn 2.19, 4 Mg 2.23
O (0.9040, 0.9040, 0.8081)  1 Mg 2.15, 5 Mn 2.23-2.30
O (0.3008, 0.3008, 0.6017)  6 Mn 2.23-2.28
O (0.6992, 0.6992, 0.3983)  6 Mn 2.23-2.28

energy	-7.441	eV per atom
total magnetization	20.00	μB per formula unit